Entry 1:
## Ca2YUP4 (PBE)

Data for an optimized crystal structure of Ca2YUP4.

Cell: 6.985 4.066 7.041 Å, 90.00 109.17 90.00°
Space group P2/m (No. 10)
One atom of each set of equivalent atoms:
Ca 0.000 0.000 0.000
Ca 0.500 0.500 0.000
Y 0.000 0.500 0.500
U 0.500 0.000 0.500
P 0.256 0.000 0.730
P 0.266 0.500 0.273

Properties
E_form ... -1.22 eV per atom
Energy ... -53.2 eV/f.u.
Calculated density ... 4.67 Mg/m³

Entry 2:
## Ca3YU2P6 (PBE)

Data for an optimized crystal structure of Ca3YU2P6.

Cell: 7.005 12.129 7.038 Å, 90.00 109.37 90.00°
Space group C2/m (No. 12)
One atom of each set of equivalent atoms:
Ca 0.000 0.000 0.000
Ca 0.000 0.335 0.000
Y 0.000 0.500 0.500
U 0.000 0.167 0.500
P 0.233 0.000 0.728
P 0.248 0.328 0.727

Properties
E_form ... -1.17 eV per atom
Energy ... -81.6 eV/f.u.
Calculated density ... 5.13 Mg/m³

Entry 3:
## Ca3Zr2UP6 (PBE)

Data for an optimized crystal structure of Ca3Zr2UP6.

Cell: 6.755 11.697 6.990 Å, 90.00 108.79 90.00°
Space group C2/m (No. 12)
One atom of each set of equivalent atoms:
Ca 0.000 0.000 0.000
Ca 0.000 0.333 0.000
Zr 0.000 0.166 0.500
U 0.000 0.500 0.500
P 0.241 0.000 0.724
P 0.242 0.333 0.725

Properties
E_form ... -1.21 eV per atom
Energy ... -81.4 eV/f.u.
Calculated density ... 4.61 Mg/m³

Entry 4:
## Ca2ZrUP4 (PBE)

Data for an optimized crystal structure of Ca2ZrUP4.

Cell: 6.799 3.944 6.993 Å, 90.00 108.78 90.00°
Space group P2/m (No. 10)
One atom of each set of equivalent atoms:
Ca 0.000 0.000 0.000
Ca 0.500 0.500 0.000
Zr 0.000 0.500 0.500
U 0.500 0.000 0.500
P 0.239 0.000 0.725
P 0.253 0.500 0.274

Properties
E_form ... -1.17 eV per atom
Energy ... -54.8 eV/f.u.
Calculated density ... 4.99 Mg/m³

Entry 5:
## Ca3ZrU2P6 (PBE)

Data for an optimized crystal structure of Ca3ZrU2P6.

Cell: 6.858 11.878 7.021 Å, 90.00 109.01 90.00°
Space group C2/m (No. 12)
One atom of each set of equivalent atoms:
Ca 0.000 0.000 0.000
Ca 0.000 0.333 0.000
Zr 0.000 0.500 0.500
U 0.000 0.167 0.500
P 0.240 0.335 0.726
P 0.246 0.000 0.726

Properties
E_form ... -1.14 eV per atom
Energy ... -83.2 eV/f.u.
Calculated density ... 5.36 Mg/m³

Entry 6:
## CaVP2 (PBE)

Data for an optimized crystal structure of CaVP2.

Cell: 6.766 6.766 7.620 Å, 90.00 90.00 90.00°
Space group I-42d (No. 122)
One atom of each set of equivalent atoms:
Ca 0.000 0.000 0.000
V 0.000 0.000 0.500
P 0.186 0.250 0.625

Properties
E_form ... -0.51 eV per atom
Energy ... -24.0 eV/f.u.
Calculated density ... 2.91 Mg/m³